[1]
A relaxed Al6CdAu12 crystal, computed with GGA-PBE.

abc: 7.6121 7.6121 7.6121
angles: 107.82 107.82 107.82
Closest atoms and distances in Å follow each position.
Fractional coordinates of all 19 atoms:
Al 0.6967 0.2901 0.2901  7 Au 2.62-2.75
Al 0.2901 0.2901 0.6967  7 Au 2.62-2.75
Al 0.2901 0.6967 0.2901  7 Au 2.62-2.75
Al 0.7099 0.7099 0.3033  7 Au 2.62-2.75
Al 0.3033 0.7099 0.7099  7 Au 2.62-2.75
Al 0.7099 0.3033 0.7099  7 Au 2.62-2.75
Cd 0.0000 0.0000 0.0000  6 Au 2.93
Au 0.8805 0.1195 0.5000  4 Al 2.67-2.69, 5 Au 2.88-2.94
Au 0.8717 0.6308 0.6308  3 Al 2.62-2.75, 2 Au 2.88, 1 Cd 2.93
Au 0.6308 0.6308 0.8717  3 Al 2.62-2.75, 2 Au 2.88, 1 Cd 2.93
Au 0.3692 0.1283 0.3692  3 Al 2.62-2.75, 2 Au 2.88, 1 Cd 2.93
Au 0.3692 0.3692 0.1283  3 Al 2.62-2.75, 2 Au 2.88, 1 Cd 2.93
Au 0.1283 0.3692 0.3692  3 Al 2.62-2.75, 2 Au 2.88, 1 Cd 2.93
Au 0.1195 0.5000 0.8805  4 Al 2.67-2.69, 5 Au 2.88-2.94
Au 0.5000 0.8805 0.1195  4 Al 2.67-2.69, 5 Au 2.88-2.94
Au 0.1195 0.8805 0.5000  4 Al 2.67-2.69, 5 Au 2.88-2.94
Au 0.8805 0.5000 0.1195  4 Al 2.67-2.69, 5 Au 2.88-2.94
Au 0.5000 0.1195 0.8805  4 Al 2.67-2.69, 5 Au 2.88-2.94
Au 0.6308 0.8717 0.6308  3 Al 2.62-2.75, 2 Au 2.88, 1 Cd 2.93

Computed properties:
magnetic moment	0.0	μB/cell
energy relative to the elements	-243	meV/atom
distance to the lowest polymorph of the same formula	0.000	eV/atom



[2]
A relaxed KCd2GaCo crystal, computed with GGA-PBE.

abc: 5.1307 5.1307 4.6265
angles: 90.00 90.00 90.00
Closest atoms and distances in Å follow each position.
Fractional coordinates of all 5 atoms:
K 0.5000 0.5000 0.5000  8 Cd 3.45, 4 Ga 3.63
Co 0.0000 0.0000 0.0000  2 Ga 2.31, 4 Cd 2.57
Ga 0.0000 0.0000 0.5000  2 Co 2.31
Cd 0.0000 0.5000 0.0000  2 Co 2.57
Cd 0.5000 0.0000 0.0000  2 Co 2.57

Computed properties:
magnetic moment	0.0	μB/cell
energy relative to the elements	-14	meV/atom
distance to the lowest polymorph of the same formula	0.000	eV/atom



[3]
A relaxed Li2InRh crystal, computed with GGA-PBE.

abc: 3.8011 3.8011 9.9711
angles: 79.01 79.01 90.00
Closest atoms and distances in Å follow each position.
Fractional coordinates of all 8 atoms:
Li 0.5959 0.1250 0.2500  2 Li 2.54, 2 Rh 2.71, 2 In 2.79
Li 0.1541 0.6250 0.2500  2 Li 2.54, 2 Rh 2.71, 2 In 2.79
Li 0.3750 0.4041 0.7500  2 Li 2.54, 2 Rh 2.71, 2 In 2.79
Li 0.8750 0.8459 0.7500  2 Li 2.54, 2 Rh 2.71, 2 In 2.79
Rh 0.5000 0.5000 0.0000  4 In 2.69, 4 Li 2.71
Rh 0.2500 0.7500 0.5000  4 In 2.69, 4 Li 2.71
In 0.0000 0.0000 0.0000  4 Rh 2.69, 4 Li 2.79
In 0.7500 0.2500 0.5000  4 Rh 2.69, 4 Li 2.79

Computed properties:
magnetic moment	0.0	μB/cell
energy relative to the elements	-146	meV/atom